Entry 1:
AcTmIrPd: optimized geometry, PBE.

The structure in POSCAR format:
```
AcTmIrPd
1.0
5.086 0.000 0.000
2.543 4.405 0.000
2.543 1.468 4.153
Ir Pd Ac Tm
1 1 1 1
direct
0.000 0.000 0.000
0.500 0.500 0.500
0.250 0.250 0.250
0.750 0.750 0.750
```

## Properties
Formation energy from the elements in kJ/mol of formula units: -266
Symmetry: F-43m
Spin magnetization in μB/f.u.: 0.00
Volume in Å³/cell: 93.0


Entry 2:
LaTeOs2: optimized geometry, PBE.

The structure in POSCAR format:
```
LaTeOs2
1.0
7.576 0.000 0.000
0.000 7.576 0.000
3.788 3.788 3.128
Os Te La
4 2 2
direct
0.375 0.425 0.750
0.175 0.625 0.250
0.875 0.825 0.750
0.575 0.125 0.250
0.250 0.750 0.500
0.500 0.500 0.000
0.750 0.250 0.500
0.000 0.000 0.000
```

## Properties
Symmetry: I-42d
Spin magnetization in μB/f.u.: 0.00
Raw formation energy in eV/atom: 0.71
Volume in Å³/cell: 179.5


Entry 3:
La2ErSn: optimized geometry, PBE.

The structure in POSCAR format:
```
La2ErSn
1.0
5.620 0.000 0.000
2.810 4.867 0.000
2.810 1.622 4.589
Er Sn La
1 1 2
direct
0.000 0.000 0.000
0.500 0.500 0.500
0.250 0.250 0.250
0.750 0.750 0.750
```

## Properties
Formation energy from the elements in kJ/mol of formula units: -106
Symmetry: Fm-3m
Spin magnetization in μB/f.u.: 0.00
Energy above the most stable polymorph in this dataset in meV per atom: 171
Volume in Å³/cell: 125.5


Entry 4:
LiPmMnGa: optimized geometry, PBE.

The structure in POSCAR format:
```
LiPmMnGa
1.0
-1.941 -3.911 1.852
2.765 -3.330 1.940
-0.007 -0.647 4.698
Pm Ga Li Mn
1 1 1 1
direct
0.750 0.750 0.750
0.250 0.250 0.250
0.000 0.000 0.000
0.500 0.500 0.500
```

## Properties
Formation energy from the elements in kJ/mol of formula units: -21
Symmetry: F-43m
Spin magnetization in μB/f.u.: 4.00
Volume in Å³/cell: 75.4